{"formula": "Cr2InSe", "functional": "PBE", "state": "optimized geometry", "volume_a3_per_atom": 18.38, "formation_energy_uncorrected_ev_per_atom": 0.265, "e_above_lowest_polymorph_kj_per_mol_fu": 55.1, "lattice_angstrom": [[3.185, 0.000, 0.000], [0.000, 3.214, 0.000], [-0.018, 0.000, 7.182]], "species": ["Cr", "Cr", "In", "Se"], "frac_coords": [[0.000, 0.000, 0.222], [0.000, 0.000, 0.778], [0.500, 0.500, 0.500], [0.500, 0.500, 0.000]]}

{"formula": "CrIn2Se", "functional": "PBE", "state": "optimized geometry", "volume_a3_per_atom": 21.65, "formation_energy_uncorrected_ev_per_atom": 0.017, "lattice_angstrom": [[3.085, 0.000, 0.000], [0.000, 3.085, 0.000], [0.000, 0.000, 9.099]], "species": ["Cr", "In", "In", "Se"], "frac_coords": [[0.000, 0.000, 0.000], [0.000, 0.000, 0.522], [0.500, 0.500, 0.226], [0.500, 0.500, 0.867]]}

{"formula": "Cr2InSe", "functional": "PBE", "state": "optimized geometry", "volume_a3_per_atom": 18.66, "formation_energy_uncorrected_ev_per_atom": 0.240, "e_above_lowest_polymorph_kj_per_mol_fu": 45.4, "lattice_angstrom": [[1.607, 0.928, 8.349], [-1.607, 0.928, 8.349], [0.000, -1.855, 8.349]], "species": ["Cr", "Cr", "In", "Se"], "frac_coords": [[0.000, 0.000, 0.000], [0.261, 0.261, 0.261], [0.756, 0.756, 0.756], [0.531, 0.531, 0.531]]}

{"formula": "CrInSe2", "functional": "PBE", "state": "optimized geometry", "volume_a3_per_atom": 23.41, "formation_energy_uncorrected_ev_per_atom": -0.227, "lattice_angstrom": [[-1.679, 1.788, 7.799], [1.679, -1.788, 7.799], [1.679, 1.788, -7.799]], "species": ["Cr", "In", "Se", "Se"], "frac_coords": [[0.000, 0.000, 0.000], [0.259, 0.759, 0.500], [0.566, 0.566, 0.000], [0.879, 0.379, 0.500]]}

{"formula": "CrIn2Se", "functional": "PBE", "state": "optimized geometry", "volume_a3_per_atom": 23.46, "formation_energy_uncorrected_ev_per_atom": 0.165, "lattice_angstrom": [[1.852, 1.069, 7.900], [-1.852, 1.069, 7.900], [0.000, -2.138, 7.900]], "species": ["Cr", "In", "In", "Se"], "frac_coords": [[0.000, 0.000, 0.000], [0.248, 0.248, 0.248], [0.752, 0.752, 0.752], [0.500, 0.500, 0.500]]}

{"formula": "Cr2InSe", "functional": "PBE", "state": "optimized geometry", "volume_a3_per_atom": 17.93, "formation_energy_uncorrected_ev_per_atom": 0.254, "e_above_lowest_polymorph_kj_per_mol_fu": 50.9, "lattice_angstrom": [[-1.577, 1.672, 6.800], [1.577, -1.672, 6.800], [1.577, 1.672, -6.800]], "species": ["Cr", "Cr", "In", "Se"], "frac_coords": [[0.000, 0.000, 0.000], [0.806, 0.306, 0.500], [0.175, 0.675, 0.500], [0.436, 0.436, 0.000]]}

{"formula": "CrInSe2", "functional": "PBE", "state": "optimized geometry", "volume_a3_per_atom": 20.21, "formation_energy_uncorrected_ev_per_atom": -0.076, "lattice_angstrom": [[3.031, 0.000, 0.000], [0.000, 3.031, 0.000], [0.000, 0.000, 8.800]], "species": ["Cr", "In", "Se", "Se"], "frac_coords": [[0.000, 0.000, 0.000], [0.000, 0.000, 0.500], [0.500, 0.500, 0.167], [0.500, 0.500, 0.833]]}

{"formula": "CrIn2Se", "functional": "PBE", "state": "optimized geometry", "volume_a3_per_atom": 21.92, "formation_energy_uncorrected_ev_per_atom": 0.220, "lattice_angstrom": [[3.728, 0.000, 0.000], [0.000, 3.728, 0.000], [0.000, 0.000, 6.310]], "species": ["Cr", "In", "In", "Se"], "frac_coords": [[0.000, 0.000, 0.000], [0.500, 0.500, 0.244], [0.500, 0.500, 0.756], [0.000, 0.000, 0.500]]}

Repeat the third record exactly.
{"formula": "Cr2InSe", "functional": "PBE", "state": "optimized geometry", "volume_a3_per_atom": 18.66, "formation_energy_uncorrected_ev_per_atom": 0.240, "e_above_lowest_polymorph_kj_per_mol_fu": 45.4, "lattice_angstrom": [[1.607, 0.928, 8.349], [-1.607, 0.928, 8.349], [0.000, -1.855, 8.349]], "species": ["Cr", "Cr", "In", "Se"], "frac_coords": [[0.000, 0.000, 0.000], [0.261, 0.261, 0.261], [0.756, 0.756, 0.756], [0.531, 0.531, 0.531]]}